No. 1
# LiYCd2

A relaxed LiYCd2 crystal (PBE, Alexandria).

## Properties
- E_form (meV per atom) = 60
- mass density (kg/m³) = 5273
- calculated total energy (eV/cell) = -19.9

abc: 4.4448 4.4448 10.6945
angles: 78.01 78.01 90.00
Atoms (fractional coordinates):
Y  0.0000  0.0000  0.0000
Y  0.7500  0.2500  0.5000
Li  0.5000  0.5000  0.0000
Li  0.2500  0.7500  0.5000
Cd  0.5804  0.1250  0.2500
Cd  0.1696  0.6250  0.2500
Cd  0.3750  0.4196  0.7500
Cd  0.8750  0.8304  0.7500

***

No. 2
# Sc2AgSb

A relaxed Sc2AgSb crystal (PBE, Alexandria).

## Properties
- uncorrected formation energy (eV per atom) = -0.489
- mass density (kg/m³) = 6110
- calculated total energy (eV/cell) = -21.6

abc: 5.8398 5.8398 4.1789
angles: 69.02 69.02 41.26
Atoms (fractional coordinates):
Ag  0.4987  0.4987  0.5013
Sb  0.7524  0.7524  0.7475
Sc  0.0004  0.0004  0.9998
Sc  0.2485  0.2485  0.2514

***

No. 3
# BaSO

A relaxed BaSO crystal (PBE, Alexandria).

## Properties
- uncorrected formation energy (eV per atom) = -1.788
- mass density (kg/m³) = 4373
- calculated total energy (eV/cell) = -65.5

abc: 4.3405 13.0104 4.9866
angles: 90.00 90.00 90.00
Atoms (fractional coordinates):
Ba  0.0000  0.1286  0.8768
Ba  0.0000  0.8714  0.3768
Ba  0.5000  0.6286  0.8768
Ba  0.5000  0.3714  0.3768
S  0.0000  0.5907  0.3704
S  0.0000  0.4093  0.8704
S  0.5000  0.0907  0.3704
S  0.5000  0.9093  0.8704
O  0.0000  0.6887  0.1390
O  0.0000  0.3113  0.6390
O  0.5000  0.1887  0.1390
O  0.5000  0.8113  0.6390

***

No. 4
# Rb2NaPuF8

A relaxed Rb2NaPuF8 crystal (PBE, Alexandria).

## Properties
- uncorrected formation energy (eV per atom) = -2.992
- mass density (kg/m³) = 4539
- calculated total energy (eV/cell) = -68.5

abc: 6.1531 6.1531 7.1714
angles: 115.40 115.40 90.00
Atoms (fractional coordinates):
Rb  0.7500  0.2500  0.5000
Rb  0.0000  0.0000  0.0000
Na  0.5000  0.5000  0.0000
Pu  0.2500  0.7500  0.5000
F  0.1618  0.6487  0.7235
F  0.5617  0.6487  0.7235
F  0.3513  0.4383  0.2765
F  0.9252  0.8382  0.2765
F  0.5617  0.0748  0.7235
F  0.3513  0.8382  0.2765
F  0.1618  0.0748  0.7235
F  0.9252  0.4383  0.2765

***

No. 5
# MnBi2Pd

A relaxed MnBi2Pd crystal (PBE, Alexandria).

## Properties
- E_form (meV per atom) = 560
- energy above the lowest structure with this stoichiometry (eV/atom) = 0.443
- mass density (kg/m³) = 10146
- calculated total energy (eV/cell) = -39.8

abc: 4.7039 4.7039 9.1928
angles: 75.18 75.18 90.00
Atoms (fractional coordinates):
Mn  0.5000  0.5000  0.0000
Mn  0.2500  0.7500  0.5000
Bi  0.6118  0.1250  0.2500
Bi  0.1382  0.6250  0.2500
Bi  0.3750  0.3882  0.7500
Bi  0.8750  0.8618  0.7500
Pd  0.0000  0.0000  0.0000
Pd  0.7500  0.2500  0.5000

***

No. 6
# Gd3Mn

A relaxed Gd3Mn crystal (PBE, Alexandria).

## Properties
- E_form (meV per atom) = 203
- energy above the lowest structure with this stoichiometry (eV/atom) = 0.000
- mass density (kg/m³) = 7955
- calculated total energy (eV/cell) = -50.6

abc: 4.7309 4.7309 5.9433
angles: 113.45 113.45 90.00
Atoms (fractional coordinates):
Gd  0.7500  0.2500  0.5000
Gd  0.2500  0.7500  0.5000
Gd  0.5000  0.5000  0.0000
Mn  0.0000  0.0000  0.0000

***

No. 7
# LiNiSnOs2

A relaxed LiNiSnOs2 crystal (PBE, Alexandria).

## Properties
- E_form (meV per atom) = 1319
- mass density (kg/m³) = 9621
- calculated total energy (eV/cell) = -27.6

abc: 4.5729 4.6618 4.5729
angles: 90.00 90.00 90.00
Atoms (fractional coordinates):
Ni  0.0000  0.0000  0.0000
Os  0.0000  0.0000  0.5000
Os  0.5000  0.0000  0.0000
Sn  0.0000  0.5000  0.0000
Li  0.5000  0.5000  0.5000

***

Which formula does entry 5 have? MnBi2Pd